[1]
The following is a PBE-GGA calculation of a relaxed DyGa3Cu2 crystal, from Alexandria via LeMat-Bulk.

Computed properties:
* theoretical density: 8.10 Mg/m³
* M_tot: 0.0000 μB/atom
* ΔH_f (0 K): -0.389 eV/atom
* crystal system: monoclinic

a = 16.0911 Å, b = 4.0769 Å, c = 9.6566 Å
α = 90.00°, β = 104.52°, γ = 90.00°
With the nearest neighbours (Å) after each atom.
Space group C2/m (No. 12)
One atom of each set of equivalent atoms:
Dy: 0.0000 0.0000 0.0000  6 Cu 3.09-3.18, 10 Ga 3.19-3.32
Dy: 0.1556 0.0000 0.7062  7 Ga 3.05-3.39, 6 Cu 3.15-3.31
Ga: 0.0000 0.5000 0.5000  4 Cu 2.51-2.52, 4 Ga 2.70
Ga: 0.0491 0.0000 0.3554  4 Cu 2.44-2.61, 3 Ga 2.70-2.71
Ga: 0.1335 0.5000 0.1897  4 Cu 2.49-2.64, 3 Ga 2.50-2.77
Ga: 0.1480 0.5000 0.9382  4 Cu 2.39-2.53, 1 Ga 2.50
Ga: 0.2184 0.0000 0.3633  4 Cu 2.43-2.62, 1 Ga 2.71
Cu: 0.0126 0.5000 0.7659  5 Ga 2.39-2.52
Cu: 0.1468 0.5000 0.4545  7 Ga 2.43-2.61
Cu: 0.2041 0.0000 0.0875  6 Ga 2.45-2.64


[2]
The following is a PBE-GGA calculation of a relaxed Dy2Ga5Cu4 crystal, from Alexandria via LeMat-Bulk.

Computed properties:
* theoretical density: 8.04 Mg/m³
* M_tot: 0.0000 μB/atom
* ΔH_f (0 K): -0.329 eV/atom
* crystal system: orthorhombic

a = 5.4874 Å, b = 9.2849 Å, c = 15.0361 Å
α = 90.00°, β = 90.00°, γ = 90.00°
With the nearest neighbours (Å) after each atom.
Space group Fmmm (No. 69)
One atom of each set of equivalent atoms:
Dy: 0.0000 0.0000 0.1395  6 Cu 3.04-3.34, 4 Ga 3.17
Ga: 0.0000 0.0000 0.5000  4 Cu 2.42, 4 Ga 2.70
Ga: 0.2500 0.2500 0.0000  4 Cu 2.66, 4 Ga 2.70-2.74
Ga: 0.2500 0.2500 0.2500  4 Cu 2.43
Cu: 0.0000 0.1402 0.3646  5 Ga 2.42-2.66, 1 Cu 2.60


[3]
The following is a PBE-GGA calculation of a relaxed DyGa2Cu4 crystal, from Alexandria via LeMat-Bulk.

Computed properties:
* polymorph energy (0 for the lowest one): 0.00 kcal/mol of atoms
* theoretical density: 8.54 Mg/m³
* M_tot: 0.0000 μB/atom
* ΔH_f (0 K): -0.277 eV/atom
* crystal system: tetragonal

a = 7.3080 Å, b = 7.3080 Å, c = 4.0498 Å
α = 90.00°, β = 90.00°, γ = 90.00°
With the nearest neighbours (Å) after each atom.
Space group P4_2/mnm (No. 136)
One atom of each set of equivalent atoms:
Dy: 0.0000 0.0000 0.0000  6 Ga 2.98, 4 Cu 3.13
Ga: 0.2118 0.2118 0.5000  6 Cu 2.48-2.51
Cu: 0.0965 0.6457 0.5000  3 Ga 2.48-2.51, 6 Cu 2.55-2.71


[4]
The following is a PBE-GGA calculation of a relaxed Dy3Ga4Cu crystal, from Alexandria via LeMat-Bulk.

Computed properties:
* theoretical density: 7.59 Mg/m³
* M_tot: 0.0000 μB/atom
* ΔH_f (0 K): -0.338 eV/atom
* crystal system: orthorhombic

a = 3.6202 Å, b = 6.4277 Å, c = 15.5962 Å
α = 90.00°, β = 90.00°, γ = 90.00°
With the nearest neighbours (Å) after each atom.
Space group Immm (No. 71)
One atom of each set of equivalent atoms:
Dy: 0.0000 0.0000 0.0000  8 Ga 2.99
Dy: 0.0000 0.5000 0.2222  6 Ga 2.96-2.97
Ga: 0.0000 0.2599 0.3842  1 Cu 2.46
Cu: 0.0000 0.0000 0.5000  4 Ga 2.46


[5]
The following is a PBE-GGA calculation of a relaxed Dy4GaCu crystal, from Alexandria via LeMat-Bulk.

Computed properties:
* theoretical density: 7.68 Mg/m³
* M_tot: 0.0000 μB/atom
* ΔH_f (0 K): -0.096 eV/atom
* crystal system: monoclinic

a = 7.0747 Å, b = 7.1376 Å, c = 6.7218 Å
α = 90.00°, β = 93.71°, γ = 90.00°
With the nearest neighbours (Å) after each atom.
Space group P2_1/c (No. 14)
One atom of each set of equivalent atoms:
Dy: 0.1578 0.1617 0.1715  2 Cu 2.79-2.87, 1 Ga 2.98
Dy: 0.3337 0.6540 0.1229  1 Cu 2.69, 2 Ga 2.88-2.94
Ga: 0.5000 0.0000 0.0000  6 Dy 2.88-2.98
Cu: 0.0000 0.0000 0.5000  6 Dy 2.69-2.87


[6]
The following is a PBE-GGA calculation of a relaxed Dy2Ga2Cu crystal, from Alexandria via LeMat-Bulk.

Computed properties:
* polymorph energy (0 for the lowest one): 3.87 kcal/mol of atoms
* theoretical density: 7.72 Mg/m³
* M_tot: 0.0000 μB/atom
* ΔH_f (0 K): -0.388 eV/atom
* crystal system: orthorhombic

a = 6.2619 Å, b = 12.2503 Å, c = 5.9223 Å
α = 90.00°, β = 90.00°, γ = 90.00°
With the nearest neighbours (Å) after each atom.
Space group Ibam (No. 72)
One atom of each set of equivalent atoms:
Dy: 0.2063 0.1470 0.0000  2 Cu 2.97, 6 Ga 3.00-3.30
Ga: 0.2278 0.3914 0.0000  2 Cu 2.45
Cu: 0.0000 0.5000 0.2500  4 Ga 2.45


[7]
The following is a PBE-GGA calculation of a relaxed Dy3Ga4Cu2 crystal, from Alexandria via LeMat-Bulk.

Computed properties:
* polymorph energy (0 for the lowest one): 0.26 kcal/mol of atoms
* theoretical density: 8.45 Mg/m³
* M_tot: 0.0000 μB/atom
* ΔH_f (0 K): -0.565 eV/atom
* crystal system: monoclinic

a = 10.4288 Å, b = 4.3895 Å, c = 15.9475 Å
α = 90.00°, β = 105.86°, γ = 90.00°
With the nearest neighbours (Å) after each atom.
Space group Cm (No. 8)
One atom of each set of equivalent atoms:
Dy: 0.0000 0.0000 0.0000  9 Ga 3.01-3.23, 3 Cu 3.10-3.24
Dy: 0.0464 0.5000 0.5195  6 Cu 2.98-3.17, 6 Ga 3.05-3.23
Dy: 0.1667 0.5000 0.3393  5 Cu 2.96-3.18, 7 Ga 2.99-3.29
Dy: 0.2141 0.0000 0.8542  3 Cu 3.00-3.08, 9 Ga 3.03-3.30
Dy: 0.3278 0.0000 0.6609  4 Cu 2.95-3.27, 8 Ga 3.04-3.16
Dy: 0.3814 0.5000 0.1900  9 Ga 3.02-3.29, 3 Cu 3.03-3.04
Ga: 0.0141 0.5000 0.8538  3 Ga 2.60-2.61, 1 Cu 2.76
Ga: 0.0335 0.0000 0.6657  2 Cu 2.51, 1 Ga 2.59
Ga: 0.0539 0.5000 0.1342  1 Cu 2.52, 2 Ga 2.60
Ga: 0.1825 0.0000 0.1892  3 Ga 2.57-2.60, 1 Cu 2.81
Ga: 0.2042 0.5000 0.9991  2 Cu 2.50, 1 Ga 2.61
Ga: 0.3447 0.5000 0.5213  2 Cu 2.53, 1 Ga 2.59
Ga: 0.3697 0.0000 0.3324  2 Cu 2.52, 1 Ga 2.57
Ga: 0.3852 0.5000 0.7984  1 Cu 2.53, 2 Ga 2.60
Cu: 0.1389 0.5000 0.7216  4 Ga 2.51-2.76
Cu: 0.2306 0.0000 0.4691  2 Ga 2.53, 1 Cu 2.59
Cu: 0.3089 0.0000 0.0546  3 Ga 2.50-2.52
Cu: 0.4786 0.5000 0.3880  2 Ga 2.52, 1 Cu 2.59


[8]
The following is a PBE-GGA calculation of a relaxed DyGaCu3 crystal, from Alexandria via LeMat-Bulk.

Computed properties:
* polymorph energy (0 for the lowest one): 6.69 kcal/mol of atoms
* theoretical density: 7.57 Mg/m³
* M_tot: 0.0000 μB/atom
* ΔH_f (0 K): 0.064 eV/atom
* crystal system: orthorhombic

a = 5.6334 Å, b = 7.2841 Å, c = 4.5224 Å
α = 90.00°, β = 90.00°, γ = 90.00°
With the nearest neighbours (Å) after each atom.
Space group Pbam (No. 55)
One atom of each set of equivalent atoms:
Dy: 0.0000 0.0000 0.0000  2 Cu 2.82
Ga: 0.0000 0.5000 0.5000  6 Cu 2.26-2.30
Cu: 0.0000 0.5000 0.0000  2 Ga 2.26
Cu: 0.2451 0.2470 0.5000  2 Ga 2.30